No. 1
This record from Alexandria describes crystalline Pm4Sm7Ho at its relaxed geometry. The functional is PBE.

abc: 12.144 6.044 12.873
angles: 90.00 117.81 90.00
Space group C2/m (No. 12)
Inequivalent atoms, fractional coordinates:
Pm  0.060  0.000  0.327
Pm  0.136  0.500  0.778
Sm  0.000  0.000  0.000
Sm  0.132  0.500  0.502
Sm  0.211  0.000  0.923
Sm  0.249  0.000  0.684
Ho  0.000  0.500  0.000

Output
Total DFT energy (no corrections)   -4.46 eV/atom
Energy above the lowest structure with this stoichiometry   2.927 eV per formula unit
Energy relative to the elements   0.255 eV/atom

***

No. 2
This record from Alexandria describes crystalline LaPd2Br at its relaxed geometry. The functional is PBE.

abc: 7.084 7.084 7.084
angles: 90.00 90.00 90.00
Space group Fm-3m (No. 225)
Inequivalent atoms, fractional coordinates:
La  0.000  0.000  0.000
Pd  0.250  0.250  0.250
Br  0.000  0.000  0.500

Output
Total DFT energy (no corrections)   -4.65 eV/atom
Energy above the lowest structure with this stoichiometry   0.625 eV per formula unit
Uncorrected formation energy   -0.405 eV per atom

***

- What is the total DFT energy (no corrections) in the second record?
  -4.65 eV/atom

***

- Number 1 is which compound?
  Pm4Sm7Ho